This record from Alexandria via LeMat-Bulk describes an optimized crystal structure of TaV3Cr. The functional is PBE. Values from VASP.

Structure (Quantum ESPRESSO input):
```
&SYSTEM
  ibrav = 0, nat = 5, ntyp = 3
/
ATOMIC_SPECIES
Ta 180.95 Ta.upf
V 50.94 V.upf
Cr 52.00 Cr.upf
CELL_PARAMETERS angstrom
4.6142 0.0000 0.0000
0.0000 4.6142 0.0000
0.0000 0.0000 4.6142
ATOMIC_POSITIONS angstrom
Ta 0.0000 0.0000 0.0000
V 0.0000 0.0000 2.3071
V 0.0000 2.3071 0.0000
V 2.3071 0.0000 0.0000
Cr 2.3071 2.3071 2.3071
```

Calculated values
Energy above the most stable polymorph in this dataset: 1431 meV/atom
Formation enthalpy at 0 K: 157.2 kJ per mole of atoms